VFeF4, relaxed, DFT PBE with a Hubbard U; relative energy among the computed polymorphs = 0 meV/atom; total magnetic moment = 7.000 μB/f.u.; E_tot = -36.0 eV/cell; symmetry = Cmmm, No. 65
1.0
-1.770 -0.393 2.778
-3.611 -1.968 -2.579
1.987 -4.381 0.646
F Fe V
4 1 1
Cartesian
-1.134 -4.433 -1.350
-3.411 -2.632 -0.565
-0.490 -1.915 -0.583
0.018 -4.110 1.410
0.000 0.000 0.000
-1.697 -3.371 0.423